This record from Alexandria via LeMat-Bulk describes LiTlCd2Sn after structural relaxation. The functional is GGA-PBE.

Structure (CIF):
```
data_LiTlCd2Sn
_chemical_formula_sum 'Li1 Tl1 Cd2 Sn1'
_symmetry_space_group_name_H-M 'P 4/m m m'
_symmetry_Int_Tables_number 123
_symmetry_space_group_name_Hall '-P 4 2'
_cell_length_a 5.081
_cell_length_b 5.081
_cell_length_c 5.074
_cell_angle_alpha 90.00
_cell_angle_beta 90.00
_cell_angle_gamma 90.00
loop_
_atom_site_label
_atom_site_fract_x
_atom_site_fract_y
_atom_site_fract_z
Li1 0.000 0.000 0.000
Tl1 0.500 0.500 0.500
Cd1 0.000 0.500 0.000
Sn1 0.000 0.000 0.500
```

- DOS at the Fermi energy (states/eV per cell) = 2.87
- calculated total energy (eV/cell) = -9.45
- size of the total moment (μB per cell) = 0.0